A plane-wave DFT calculation with PBE-GGA was carried out for a geometry-optimized PaSiTcOs structure.

## Properties
**Formation energy from raw total energies**: -18 kJ/mol of atoms
**Energy above the most stable polymorph in this dataset**: 0 meV per atom

a = 4.6022 Å, b = 4.6022 Å, c = 4.6022 Å
α = 60.00°, β = 60.00°, γ = 60.00°
With the nearest neighbours (Å) after each atom.
Atoms (fractional coordinates):
Tc: 0.5000 0.5000 0.5000  4 Si 2.82, 4 Pa 2.82
Si: 0.7500 0.7500 0.7500  4 Tc 2.82, 4 Os 2.82
Os: 0.0000 0.0000 0.0000  4 Pa 2.82, 4 Si 2.82
Pa: 0.2500 0.2500 0.2500  4 Tc 2.82, 4 Os 2.82

***

A plane-wave DFT calculation with PBE-GGA was carried out for a geometry-optimized Ho3ErBi2 structure.

## Properties
**DFT formation energy**: -0.57 eV/atom
**Energy above the most stable polymorph in this dataset**: 0 meV per atom

a = 4.5307 Å, b = 4.5307 Å, c = 8.5543 Å
α = 90.00°, β = 90.00°, γ = 90.00°
With the nearest neighbours (Å) after each atom.
Atoms (fractional coordinates):
Ho: 0.0000 0.5000 0.6559  5 Bi 3.17-3.24
Ho: 0.5000 0.0000 0.3441  5 Bi 3.17-3.24
Ho: 0.0000 0.0000 0.0000  4 Er 3.20, 4 Bi 3.33
Bi: 0.5000 0.0000 0.7149  7 Ho 3.17-3.33, 2 Er 3.33
Bi: 0.0000 0.5000 0.2851  7 Ho 3.17-3.33, 2 Er 3.33
Er: 0.5000 0.5000 0.0000  4 Ho 3.20, 4 Bi 3.33

***

A plane-wave DFT calculation with PBE-GGA was carried out for a geometry-optimized BaSi3 structure.

## Properties
**Formation energy from raw total energies**: 45 kJ/mol of atoms

a = 5.5674 Å, b = 5.5674 Å, c = 5.5674 Å
α = 132.49°, β = 132.49°, γ = 69.46°
With the nearest neighbours (Å) after each atom.
Atoms (fractional coordinates):
Si: 0.2500 0.7500 0.5000  8 Si 3.17-3.20, 4 Ba 3.20
Si: 0.5000 0.5000 0.0000  4 Ba 3.17, 8 Si 3.20
Si: 0.7500 0.2500 0.5000  8 Si 3.17-3.20, 4 Ba 3.20
Ba: 0.0000 0.0000 0.0000  12 Si 3.17-3.20

***

A plane-wave DFT calculation with PBE-GGA was carried out for a geometry-optimized Li3SbO4 structure.

## Properties
**Formation energy from raw total energies**: -174 kJ/mol of atoms

a = 4.5861 Å, b = 4.5861 Å, c = 5.5907 Å
α = 114.21°, β = 114.21°, γ = 90.00°
With the nearest neighbours (Å) after each atom.
Atoms (fractional coordinates):
Li: 0.5000 0.5000 0.0000  4 O 2.02
Li: 0.7500 0.2500 0.5000  4 O 2.00
Li: 0.2500 0.7500 0.5000  4 O 2.00
O: 0.8820 0.8820 0.2441  1 Sb 1.91, 3 Li 2.00-2.02
O: 0.3622 0.3622 0.2441  1 Sb 1.91, 3 Li 2.00-2.02
O: 0.1180 0.6378 0.7559  1 Sb 1.91, 3 Li 2.00-2.02
O: 0.6378 0.1180 0.7559  1 Sb 1.91, 3 Li 2.00-2.02
Sb: 0.0000 0.0000 0.0000  4 O 1.91

***

A plane-wave DFT calculation with PBE-GGA was carried out for a geometry-optimized RePt2Rh6 structure.

## Properties
**DFT formation energy**: 0.11 eV/atom
**Energy above the most stable polymorph in this dataset**: 205 meV per atom

a = 4.6486 Å, b = 4.3051 Å, c = 8.1352 Å
α = 99.32°, β = 90.00°, γ = 122.68°
With the nearest neighbours (Å) after each atom.
Atoms (fractional coordinates):
Rh: 0.9968 0.9937 0.8158  1 Re 2.57, 4 Rh 2.60-2.68, 4 Pt 2.73-2.83
Rh: 0.6689 0.3379 0.5962  6 Rh 2.64-2.91, 3 Re 2.66-2.67, 1 Pt 2.77
Rh: 0.3240 0.6479 0.7301  6 Rh 2.60-2.72, 2 Pt 2.70-2.74, 1 Re 2.71
Rh: 0.6760 0.3521 0.2699  6 Rh 2.60-2.72, 2 Pt 2.70-2.74, 1 Re 2.71
Rh: 0.3311 0.6621 0.4038  6 Rh 2.64-2.91, 3 Re 2.66-2.67, 1 Pt 2.77
Rh: 0.0032 0.0063 0.1842  1 Re 2.57, 4 Rh 2.60-2.68, 4 Pt 2.73-2.83
Re: 0.0000 0.0000 0.5000  10 Rh 2.57-2.71
Pt: 0.3302 0.6604 0.0627  7 Rh 2.70-2.83, 3 Pt 2.71-2.84
Pt: 0.6698 0.3396 0.9373  7 Rh 2.70-2.83, 3 Pt 2.71-2.84

***

A plane-wave DFT calculation with PBE-GGA was carried out for a geometry-optimized TiVGe2 structure.

## Properties
**DFT formation energy**: -0.20 eV/atom
**Energy above the most stable polymorph in this dataset**: 99 meV per atom

a = 2.8906 Å, b = 2.8906 Å, c = 7.2786 Å
α = 90.00°, β = 90.00°, γ = 90.00°
With the nearest neighbours (Å) after each atom.
Atoms (fractional coordinates):
Ge: 0.0000 0.0000 0.2388  4 V 2.68, 4 Ti 2.79, 4 Ge 2.89
Ge: 0.0000 0.0000 0.7612  4 V 2.68, 4 Ti 2.79, 4 Ge 2.89
V: 0.5000 0.5000 0.0000  8 Ge 2.68, 4 V 2.89
Ti: 0.5000 0.5000 0.5000  8 Ge 2.79, 4 Ti 2.89

***

| no. | E (eV/atom) |
| --- | --- |
| 1 | -9.32 |
| 2 | -4.92 |
| 3 | -4.08 |
| 4 | -5.51 |
| 5 | -7.52 |
| 6 | -6.76 |